Entry 1:
The following is a PBE-GGA calculation of a relaxed RePbI2 crystal, from the Alexandria database.

a = 9.6111 Å, b = 9.6111 Å, c = 7.3293 Å
α = 49.03°, β = 49.03°, γ = 90.00°
Atoms (fractional coordinates):
Pb 0.7500 0.2500 0.5000
Re 0.2500 0.7500 0.5000
I 0.2590 0.6250 0.2500
Pb 0.0000 0.0000 0.0000
I 0.4910 0.1250 0.2500
I 0.8750 0.7410 0.7500
I 0.3750 0.5090 0.7500
Re 0.5000 0.5000 0.0000

calculated volume: 253.5 Å³/cell
relative energy among the computed polymorphs: 0 meV/atom
space group: I-42d (122)
formation energy from raw total energies: 0.600 eV per atom

---

Entry 2:
The following is a PBE-GGA calculation of a relaxed SmDyCuSi crystal, from the Alexandria database.

a = 4.0929 Å, b = 4.0982 Å, c = 5.8171 Å
α = 90.00°, β = 110.60°, γ = 90.00°
Atoms (fractional coordinates):
Si 0.4288 0.0000 0.8576
Dy 0.8639 0.5000 0.7278
Cu 0.5632 0.5000 0.1264
Sm 0.1441 0.0000 0.2882

calculated volume: 91.3 Å³/cell
relative energy among the computed polymorphs: 0 meV/atom
space group: Amm2 (38)
formation energy from raw total energies: -0.504 eV per atom

---

Entry 3:
The following is a PBE-GGA calculation of a relaxed Ac2Sm5Dy5 crystal, from the Alexandria database.

a = 5.1724 Å, b = 8.1832 Å, c = 10.9308 Å
α = 72.52°, β = 76.31°, γ = 71.58°
Atoms (fractional coordinates):
Dy 0.0000 0.0000 0.0000
Sm 0.6654 0.6704 0.9988
Ac 0.9176 0.4168 0.7480
Ac 0.0824 0.5832 0.2520
Dy 0.1712 0.1589 0.4988
Sm 0.5878 0.0756 0.7489
Sm 0.5000 0.5000 0.5000
Sm 0.4122 0.9244 0.2511
Sm 0.3346 0.3296 0.0012
Dy 0.2460 0.7574 0.7505
Dy 0.7540 0.2426 0.2495
Dy 0.8288 0.8411 0.5012

calculated volume: 413.5 Å³/cell
formation enthalpy at 0 K: 0.0387 eV per atom
space group: C2/m (12)

---

Entry 4:
The following is a PBE-GGA calculation of a relaxed Na2ScC crystal, from the Alexandria database.

a = 3.5355 Å, b = 3.5355 Å, c = 11.6608 Å
α = 81.28°, β = 81.28°, γ = 90.00°
Atoms (fractional coordinates):
Sc 0.7500 0.2500 0.5000
Na 0.3750 0.4010 0.7500
Na 0.8750 0.8490 0.7500
C 0.5000 0.5000 0.0000
Na 0.5990 0.1250 0.2500
Sc 0.0000 0.0000 0.0000
Na 0.1510 0.6250 0.2500
C 0.2500 0.7500 0.5000

calculated volume: 142.4 Å³/cell
formation enthalpy at 0 K: 0.7769 eV per atom
space group: I-42d (122)

---

Entry 5:
The following is a PBE-GGA calculation of a relaxed K2SrPbI crystal, from the Alexandria database.

a = 6.6892 Å, b = 6.4225 Å, c = 6.6892 Å
α = 90.00°, β = 90.00°, γ = 90.00°
Atoms (fractional coordinates):
Pb 0.0000 0.0000 0.0000
K 0.0000 0.0000 0.5000
K 0.5000 0.0000 0.0000
I 0.5000 0.5000 0.5000
Sr 0.0000 0.5000 0.0000

calculated volume: 287.4 Å³/cell
space group: P4/mmm (123)
formation energy from raw total energies: -0.368 eV per atom

---

Entry 6:
The following is a PBE-GGA calculation of a relaxed RePdSe crystal, from the Alexandria database.

a = 3.0121 Å, b = 3.8415 Å, c = 10.3640 Å
α = 112.41°, β = 90.14°, γ = 90.00°
Atoms (fractional coordinates):
Re 0.2938 0.1845 0.4363
Re 0.7062 0.8155 0.5637
Se 0.7324 0.0846 0.8254
Pd 0.7740 0.5214 0.2778
Pd 0.2260 0.4786 0.7222
Se 0.2676 0.9154 0.1746

calculated volume: 110.9 Å³/cell
space group: P-1 (2)
formation energy from raw total energies: -0.072 eV per atom

---

Entry 7:
The following is a PBE-GGA calculation of a relaxed MnFe2W crystal, from the Alexandria database.

a = 8.7013 Å, b = 8.7013 Å, c = 8.7013 Å
α = 17.38°, β = 17.38°, γ = 17.38°
Last column: magnetic moment on the atom in μB.
Atoms (fractional coordinates):
W 0.7500 0.7500 0.7500  -0.07
Mn 0.5071 0.5071 0.5071  -1.59
Fe 0.9947 0.9947 0.9947  2.08
Fe 0.2483 0.2483 0.2483  1.83

calculated volume: 51.3 Å³/cell
relative energy among the computed polymorphs: 269 meV/atom
formation enthalpy at 0 K: 0.3106 eV per atom
space group: R3m (160)

---

Entry 8:
The following is a PBE-GGA calculation of a relaxed AsAuSe2 crystal, from the Alexandria database.

a = 3.8894 Å, b = 2.8537 Å, c = 8.2178 Å
α = 110.12°, β = 90.00°, γ = 90.00°
Atoms (fractional coordinates):
Se 0.0000 0.5017 0.5033
As 0.5000 0.2500 0.2500
Se 0.0000 0.9983 0.9967
Au 0.5000 0.7500 0.7500

calculated volume: 85.6 Å³/cell
space group: P2/m (10)
formation energy from raw total energies: 0.066 eV per atom

---

Question: What is the calculated volume in the sixth record?
Answer: 110.9 Å³/cell